Here is a relaxed CrTeHI2 crystal from the Alexandria database. Energies are from GGA-PBE.

The space group is P4/mmm (No. 123) and the conventional cell measures 5.780, 5.780 and 3.864 Å, with angles of 90.00, 90.00 and 90.00 degrees. Symmetry generates all atoms from Cr at (0.000, 0.000, 0.000), Te at (0.500, 0.500, 0.000), H at (0.500, 0.500, 0.500) and I at (0.000, 0.500, 0.500).

The relative energy among the computed polymorphs is 104 meV/atom. As for the crystal system: tetragonal. The calculated total energy comes out at -16.166 eV/cell.